Entry from Alexandria via LeMat-Bulk: HfPa after structural relaxation (PBE-GGA).

The space group is I4/mmm (No. 139) and the conventional cell measures 9.565, 9.565 and 4.361 Å, with angles of 90.00, 90.00 and 90.00 degrees. Symmetry generates all atoms from Hf at (0.000, 0.339, 0.000) and Pa at (0.157, 0.157, 0.500).

As for the energy of formation: 0.30 eV per atom. The relative energy among the computed polymorphs comes out at 261.9 meV/atom. The calculated volume comes out at 24.93 Å³ per atom.

=====

Entry from Alexandria via LeMat-Bulk: Hf3Pa2 after structural relaxation (PBE-GGA).

The space group is Fddd (No. 70, origin choice 2) and the conventional cell measures 3.141, 10.682 and 27.837 Å, with angles of 90.00, 90.00 and 90.00 degrees. Symmetry generates all atoms from Hf at (0.125, 0.125, 0.024), Hf at (0.125, 0.125, 0.625) and Pa at (0.125, 0.125, 0.423).

As for the energy of formation: 0.13 eV per atom. The relative energy among the computed polymorphs comes out at 0.0 meV/atom. The calculated volume comes out at 23.35 Å³ per atom.

=====

Entry from Alexandria via LeMat-Bulk: HfPa3 after structural relaxation (PBE-GGA).

The space group is I4/mmm (No. 139) and the conventional cell measures 4.541, 4.541 and 9.506 Å, with angles of 90.00, 90.00 and 90.00 degrees. Symmetry generates all atoms from Hf at (0.000, 0.000, 0.000), Pa at (0.000, 0.000, 0.500) and Pa at (0.000, 0.500, 0.250).

As for the energy of formation: 0.06 eV per atom. The relative energy among the computed polymorphs comes out at 0.0 meV/atom. The calculated volume comes out at 24.50 Å³ per atom.

=====

Entry from Alexandria via LeMat-Bulk: HfPa3 after structural relaxation (PBE-GGA).

The space group is Pmm2 (No. 25) and the conventional cell measures 3.108, 5.444 and 5.706 Å, with angles of 90.00, 90.00 and 90.00 degrees. Symmetry generates all atoms from Hf at (0.000, 0.000, 0.000), Pa at (0.000, 0.500, 0.258), Pa at (0.500, 0.000, 0.499) and Pa at (0.500, 0.500, 0.765).

As for the energy of formation: 0.08 eV per atom. The relative energy among the computed polymorphs comes out at 20.9 meV/atom. The calculated volume comes out at 24.13 Å³ per atom.

=====

Entry from Alexandria via LeMat-Bulk: HfPa3 after structural relaxation (PBE-GGA).

The space group is Pm-3m (No. 221) and the conventional cell measures 4.621, 4.621 and 4.621 Å, with angles of 90.00, 90.00 and 90.00 degrees. Symmetry generates all atoms from Hf at (0.000, 0.000, 0.000) and Pa at (0.000, 0.500, 0.500).

As for the energy of formation: 0.10 eV per atom. The relative energy among the computed polymorphs comes out at 35.5 meV/atom. The calculated volume comes out at 24.67 Å³ per atom.

=====

Entry from Alexandria via LeMat-Bulk: HfPa8 after structural relaxation (PBE-GGA).

The space group is I4/mmm (No. 139) and the conventional cell measures 9.896, 9.896 and 4.564 Å, with angles of 90.00, 90.00 and 90.00 degrees. Symmetry generates all atoms from Hf at (0.000, 0.000, 0.000), Pa at (0.000, 0.332, 0.000) and Pa at (0.166, 0.166, 0.500).

As for the energy of formation: 0.03 eV per atom. The calculated volume comes out at 24.83 Å³ per atom.

=====

Entry from Alexandria via LeMat-Bulk: Hf4Pa after structural relaxation (PBE-GGA).

The space group is C2/m (No. 12) and the conventional cell measures 5.647, 3.144 and 13.053 Å, with angles of 90.00, 95.70 and 90.00 degrees. Symmetry generates all atoms from Hf at (0.141, 0.000, 0.402), Hf at (0.217, 0.000, 0.790) and Pa at (0.000, 0.000, 0.000).

As for the energy of formation: 0.06 eV per atom. The relative energy among the computed polymorphs comes out at 0.0 meV/atom. The calculated volume comes out at 23.06 Å³ per atom.

=====

Entry from Alexandria via LeMat-Bulk: Hf3Pa2 after structural relaxation (PBE-GGA).

The space group is R-3c (No. 167, hexagonal axes) and the conventional cell measures 8.6749, 8.6749 and 10.7267 Å, with angles of 90.00, 90.00 and 120.00 degrees. Symmetry generates all atoms from Hf at (0.0002, 0.3333, 0.0833) and Pa at (0.0000, 0.0000, 0.1250).

As for the energy of formation: 0.34 eV per atom. The relative energy among the computed polymorphs comes out at 214.0 meV/atom. The calculated volume comes out at 23.30 Å³ per atom.

=====

Entry from Alexandria via LeMat-Bulk: HfPa after structural relaxation (PBE-GGA).

The space group is Pm-3m (No. 221) and the conventional cell measures 3.640, 3.640 and 3.640 Å, with angles of 90.00, 90.00 and 90.00 degrees. Symmetry generates all atoms from Hf at (0.000, 0.000, 0.000) and Pa at (0.500, 0.500, 0.500).

As for the energy of formation: 0.34 eV per atom. The relative energy among the computed polymorphs comes out at 297.5 meV/atom. The calculated volume comes out at 24.11 Å³ per atom.

=====

Entry from Alexandria via LeMat-Bulk: HfPa3 after structural relaxation (PBE-GGA).

The space group is Imm2 (No. 44) and the conventional cell measures 3.118, 10.749 and 5.763 Å, with angles of 90.00, 90.00 and 90.00 degrees. Symmetry generates all atoms from Hf at (0.000, 0.000, 0.000), Pa at (0.000, 0.262, 0.757) and Pa at (0.000, 0.500, 0.011).

As for the energy of formation: 0.06 eV per atom. The relative energy among the computed polymorphs comes out at 2.8 meV/atom. The calculated volume comes out at 24.15 Å³ per atom.

=====

Entry from Alexandria via LeMat-Bulk: HfPa after structural relaxation (PBE-GGA).

The space group is Pmmn (No. 59, origin choice 2) and the conventional cell measures 3.238, 4.381 and 6.672 Å, with angles of 90.00, 90.00 and 90.00 degrees. Symmetry generates all atoms from Hf at (0.250, 0.250, 0.109) and Pa at (0.250, 0.250, 0.621).

As for the energy of formation: 0.04 eV per atom. The relative energy among the computed polymorphs comes out at 0.0 meV/atom. The calculated volume comes out at 23.66 Å³ per atom.

=====

Entry from Alexandria via LeMat-Bulk: HfPa3 after structural relaxation (PBE-GGA).

The space group is Fm-3m (No. 225) and the conventional cell measures 7.292, 7.292 and 7.292 Å, with angles of 90.00, 90.00 and 90.00 degrees. Symmetry generates all atoms from Hf at (0.000, 0.000, 0.000), Pa at (0.000, 0.000, 0.500) and Pa at (0.250, 0.250, 0.250).

As for the energy of formation: 0.22 eV per atom. The relative energy among the computed polymorphs comes out at 156.6 meV/atom. The calculated volume comes out at 24.23 Å³ per atom.

=====

Number 1: total moment 0.00 μB per cell. Number 2: total moment 0.00 μB per cell. Number 3: total moment 0.00 μB per cell. Number 4: total moment 0.00 μB per cell. Number 5: total moment 0.00 μB per cell. Number 6: total moment 0.00 μB per cell. Number 7: total moment 0.00 μB per cell. Number 8: total moment 0.00 μB per cell. Number 9: total moment 0.00 μB per cell. Number 10: total moment 0.00 μB per cell. Number 11: total moment 0.00 μB per cell. Number 12: total moment 0.00 μB per cell.